DFT (PBEsol) results for an optimized crystal structure of ScCu.

Values from the calculation:
The crystal system is orthorhombic. The formation energy comes out at -0.2658 eV/atom. As for the theoretical density: 5.456 g cm⁻³.

a = 4.532 Å, b = 3.206 Å, c = 4.546 Å
α = 90.00°, β = 90.00°, γ = 90.00°
Space group Pmma (No. 51)
Inequivalent atoms, fractional coordinates:
1 Sc 0.250 0.000 0.245
2 Cu 0.250 0.500 0.736



DFT (PBEsol) results for an optimized crystal structure of KSr4Ca.

Values from the calculation:
The crystal system is cubic. The formation energy comes out at 0.1798 eV/atom. As for the theoretical density: 2.140 g cm⁻³.

a = 11.008 Å, b = 11.008 Å, c = 11.008 Å
α = 90.00°, β = 90.00°, γ = 90.00°
Space group F-43m (No. 216)
Inequivalent atoms, fractional coordinates:
1 K 0.000 0.000 0.000
2 Sr 0.124 0.124 0.376
3 Ca 0.250 0.250 0.750



DFT (PBEsol) results for an optimized crystal structure of KWNF2.

Values from the calculation:
The crystal system is tetragonal. The calculation puts the uncorrected formation energy at -31.3 kcal/mol of atoms. As for the theoretical density: 6.594 g cm⁻³.

a = 4.218 Å, b = 4.218 Å, c = 3.891 Å
α = 90.00°, β = 90.00°, γ = 90.00°
Space group P4/mmm (No. 123)
Inequivalent atoms, fractional coordinates:
1 K 0.000 0.000 0.000
2 W 0.500 0.500 0.500
3 N 0.500 0.500 0.000
4 F 0.000 0.500 0.500



DFT (PBEsol) results for an optimized crystal structure of CdRhCl2.

Values from the calculation:
The crystal system is orthorhombic. The calculation puts the uncorrected formation energy at -2.2 kcal/mol of atoms. As for the theoretical density: 5.963 g cm⁻³.

a = 3.192 Å, b = 5.601 Å, c = 8.917 Å
α = 90.00°, β = 90.00°, γ = 90.00°
Space group Cmmm (No. 65)
Inequivalent atoms, fractional coordinates:
1 Cd 0.000 0.000 0.000
2 Rh 0.000 0.000 0.500
3 Cl 0.000 0.500 0.311



DFT (PBEsol) results for an optimized crystal structure of Sr2TaNb.

Values from the calculation:
The crystal system is cubic. The formation energy comes out at 1.5901 eV/atom. As for the theoretical density: 6.767 g cm⁻³.

a = 7.610 Å, b = 7.610 Å, c = 7.610 Å
α = 90.00°, β = 90.00°, γ = 90.00°
Space group Fm-3m (No. 225)
Inequivalent atoms, fractional coordinates:
1 Sr 0.250 0.250 0.250
2 Ta 0.000 0.000 0.000
3 Nb 0.000 0.000 0.500



DFT (PBEsol) results for an optimized crystal structure of MgScSb2.

Values from the calculation:
The crystal system is monoclinic. The calculation puts the uncorrected formation energy at -11.4 kcal/mol of atoms. As for the theoretical density: 5.512 g cm⁻³.

a = 3.318 Å, b = 5.333 Å, c = 5.326 Å
α = 90.00°, β = 90.06°, γ = 90.00°
Space group Pm (No. 6)
Inequivalent atoms, fractional coordinates:
1 Mg 0.000 0.000 0.000
2 Sc 0.002 0.500 0.502
3 Sb 0.373 0.000 0.500
4 Sb 0.628 0.500 0.001



DFT (PBEsol) results for an optimized crystal structure of DyIn7Cu5.

Values from the calculation:
The crystal system is orthorhombic. The formation energy comes out at -0.1160 eV/atom. As for the theoretical density: 9.039 g cm⁻³.

a = 5.507 Å, b = 9.278 Å, c = 9.233 Å
α = 90.00°, β = 90.00°, γ = 90.00°
Space group Imm2 (No. 44)
Inequivalent atoms, fractional coordinates:
1 Dy 0.000 0.000 0.000
2 In 0.000 0.000 0.336
3 In 0.000 0.000 0.655
4 In 0.000 0.310 0.514
5 In 0.000 0.337 0.987
6 In 0.000 0.500 0.268
7 Cu 0.000 0.500 0.737
8 Cu 0.243 0.244 0.250



DFT (PBEsol) results for an optimized crystal structure of FePbBr2.

Values from the calculation:
The crystal system is monoclinic. The calculation puts the uncorrected formation energy at -1.2 kcal/mol of atoms. As for the theoretical density: 6.956 g cm⁻³.

a = 11.992 Å, b = 3.445 Å, c = 5.248 Å
α = 90.00°, β = 111.37°, γ = 90.00°
Space group C2/m (No. 12)
Inequivalent atoms, fractional coordinates:
1 Fe 0.000 0.000 0.000
2 Pb 0.000 0.500 0.500
3 Br 0.164 0.500 0.176



DFT (PBEsol) results for an optimized crystal structure of ZnCuAu2.

Values from the calculation:
The crystal system is trigonal. The formation energy comes out at -0.0572 eV/atom. As for the theoretical density: 14.415 g cm⁻³.

a = 2.8708 Å, b = 2.8708 Å, c = 25.3175 Å
α = 90.00°, β = 90.00°, γ = 120.00°
Space group R-3m (No. 166, hexagonal axes)
Inequivalent atoms, fractional coordinates:
1 Zn 0.0000 0.0000 0.0000
2 Cu 0.0000 0.0000 0.5000
3 Au 0.0000 0.0000 0.2487



DFT (PBEsol) results for an optimized crystal structure of MgTaOs2.

Values from the calculation:
The crystal system is orthorhombic. The formation energy comes out at 0.1400 eV/atom. As for the theoretical density: 15.711 g cm⁻³.

a = 3.107 Å, b = 4.665 Å, c = 8.542 Å
α = 90.00°, β = 90.00°, γ = 90.00°
Space group Immm (No. 71)
Inequivalent atoms, fractional coordinates:
1 Mg 0.000 0.000 0.000
2 Ta 0.000 0.000 0.500
3 Os 0.000 0.500 0.241



DFT (PBEsol) results for an optimized crystal structure of Na2Ti2O5.

Values from the calculation:
The crystal system is orthorhombic. The calculation puts the uncorrected formation energy at -59.6 kcal/mol of atoms. As for the theoretical density: 2.684 g cm⁻³.

a = 8.889 Å, b = 11.597 Å, c = 5.323 Å
α = 90.00°, β = 90.00°, γ = 90.00°
Space group Pna2_1 (No. 33)
Inequivalent atoms, fractional coordinates:
1 Na 0.078 0.238 0.000
2 Na 0.191 0.693 0.928
3 Ti 0.049 0.928 0.040
4 Ti 0.109 0.516 0.401
5 O 0.018 0.940 0.382
6 O 0.044 0.194 0.435
7 O 0.072 0.517 0.058
8 O 0.167 0.654 0.486
9 O 0.250 0.404 0.473



DFT (PBEsol) results for an optimized crystal structure of Ni2ClO.

Values from the calculation:
The crystal system is cubic. The calculation puts the uncorrected formation energy at 6.2 kcal/mol of atoms. As for the theoretical density: 6.799 g cm⁻³.

a = 5.484 Å, b = 5.484 Å, c = 5.484 Å
α = 90.00°, β = 90.00°, γ = 90.00°
Space group Fm-3m (No. 225)
Inequivalent atoms, fractional coordinates:
1 Ni 0.250 0.250 0.250
2 Cl 0.000 0.000 0.000
3 O 0.000 0.000 0.500



DFT (PBEsol) results for an optimized crystal structure of Mg2SnO4.

Values from the calculation:
The crystal system is cubic. The calculation puts the uncorrected formation energy at -52.3 kcal/mol of atoms. As for the theoretical density: 4.848 g cm⁻³.

a = 8.590 Å, b = 8.590 Å, c = 8.590 Å
α = 90.00°, β = 90.00°, γ = 90.00°
Space group Fd-3m (No. 227, origin choice 2)
Inequivalent atoms, fractional coordinates:
1 Mg 0.000 0.000 0.000
2 Sn 0.125 0.125 0.625
3 O 0.008 0.008 0.242



DFT (PBEsol) results for an optimized crystal structure of ReP2Se.

Values from the calculation:
The crystal system is orthorhombic. The calculation puts the uncorrected formation energy at 10.2 kcal/mol of atoms. As for the theoretical density: 8.149 g cm⁻³.

a = 2.944 Å, b = 4.401 Å, c = 10.289 Å
α = 90.00°, β = 90.00°, γ = 90.00°
Space group Immm (No. 71)
Inequivalent atoms, fractional coordinates:
1 Re 0.000 0.000 0.000
2 P 0.000 0.500 0.310
3 Se 0.000 0.000 0.500



DFT (PBEsol) results for an optimized crystal structure of Mg2SnH2.

Values from the calculation:
The crystal system is tetragonal. As for the theoretical density: 3.997 g cm⁻³.

a = 3.322 Å, b = 3.322 Å, c = 12.749 Å
α = 90.00°, β = 90.00°, γ = 90.00°
Space group I4/mmm (No. 139)
Inequivalent atoms, fractional coordinates:
1 Mg 0.000 0.000 0.163
2 Sn 0.000 0.000 0.500
3 H 0.000 0.500 0.250



DFT (PBEsol) results for an optimized crystal structure of Sr2CdHg.

Values from the calculation:
The crystal system is tetragonal. The formation energy comes out at -0.2746 eV/atom. As for the theoretical density: 6.553 g cm⁻³.

a = 4.774 Å, b = 4.774 Å, c = 10.854 Å
α = 90.00°, β = 90.00°, γ = 90.00°
Space group I-4m2 (No. 119)
Inequivalent atoms, fractional coordinates:
1 Sr 0.000 0.000 0.000
2 Sr 0.000 0.500 0.250
3 Cd 0.000 0.000 0.500
4 Hg 0.000 0.500 0.750



DFT (PBEsol) results for an optimized crystal structure of Ag3PS4.

Values from the calculation:
The crystal system is orthorhombic. The calculation puts the uncorrected formation energy at -4.3 kcal/mol of atoms. As for the theoretical density: 4.892 g cm⁻³.

a = 7.513 Å, b = 6.772 Å, c = 6.442 Å
α = 90.00°, β = 90.00°, γ = 90.00°
Space group Pmn2_1 (No. 31)
Inequivalent atoms, fractional coordinates:
1 Ag 0.000 0.141 0.000
2 Ag 0.229 0.307 0.458
3 P 0.000 0.810 0.480
4 S 0.000 0.089 0.610
5 S 0.000 0.807 0.161
6 S 0.225 0.661 0.581



DFT (PBEsol) results for an optimized crystal structure of Ag2TeO4.

Values from the calculation:
The crystal system is monoclinic. The calculation puts the uncorrected formation energy at -9.8 kcal/mol of atoms. As for the theoretical density: 6.455 g cm⁻³.

a = 6.397 Å, b = 10.246 Å, c = 7.133 Å
α = 90.00°, β = 116.30°, γ = 90.00°
Space group C2/c (No. 15)
Inequivalent atoms, fractional coordinates:
1 Ag 0.000 0.026 0.250
2 Ag 0.000 0.274 0.750
3 Te 0.000 0.375 0.250
4 O 0.087 0.264 0.090
5 O 0.245 0.486 0.414



DFT (PBEsol) results for an optimized crystal structure of BeCdHg2.

Values from the calculation:
The crystal system is orthorhombic. The formation energy comes out at 0.2468 eV/atom. As for the theoretical density: 11.218 g cm⁻³.

a = 2.930 Å, b = 5.883 Å, c = 8.974 Å
α = 90.00°, β = 90.00°, γ = 90.00°
Space group Cmmm (No. 65)
Inequivalent atoms, fractional coordinates:
1 Be 0.000 0.000 0.000
2 Cd 0.000 0.000 0.500
3 Hg 0.000 0.500 0.217



DFT (PBEsol) results for an optimized crystal structure of Re12W17.

Values from the calculation:
The crystal system is cubic. The formation energy comes out at 0.0734 eV/atom. As for the theoretical density: 19.787 g cm⁻³.

a = 9.653 Å, b = 9.653 Å, c = 9.653 Å
α = 90.00°, β = 90.00°, γ = 90.00°
Space group I-43m (No. 217)
Inequivalent atoms, fractional coordinates:
1 Re 0.092 0.092 0.716
2 W 0.000 0.000 0.000
3 W 0.045 0.359 0.641
4 W 0.177 0.177 0.177



Raw total energy readings, ordered: -5.735 -1.592 -6.823 -3.434 -5.173 -4.854 -3.772 -4.229 -3.498 -9.535 -7.659 -4.623 -6.368 -6.749 -3.024 -1.636 -4.344 -4.876 -1.336 -13.537 eV per atom